The following is a PBE-GGA calculation of an optimized crystal structure of CuPdPt, from Alexandria.

a b c (Å): 4.9185 4.9185 13.5102
angles (deg): 90.00 90.00 120.00
Space group P6_222 (No. 180)
Asymmetric unit:
Cu 0.0000 0.5000 0.3347 x6
Pd 0.0000 0.0000 0.1667 x3
Pd 0.0000 0.5000 0.6667 x3
Pt 0.3257 0.6629 0.1667 x6

Values from the calculation:
ΔH_f (0 K) ... 0.1000 eV/atom

The following is a PBE-GGA calculation of an optimized crystal structure of Li3CuMo, from Alexandria.

a b c (Å): 4.545 4.545 4.545
angles (deg): 90.00 90.00 90.00
Space group Pm-3m (No. 221)
Asymmetric unit:
Li 0.000 0.000 0.500 x3
Cu 0.000 0.000 0.000 x1
Mo 0.500 0.500 0.500 x1

Values from the calculation:
ΔH_f (0 K) ... 0.9385 eV/atom

The following is a PBE-GGA calculation of an optimized crystal structure of Ca2DySi3Pt12, from Alexandria.

a b c (Å): 9.1711 9.1711 13.0821
angles (deg): 90.00 90.00 120.00
Space group R-3m (No. 166, hexagonal axes)
Asymmetric unit:
Ca 0.0000 0.0000 0.1198 x6
Dy 0.0000 0.0000 0.5000 x3
Si 0.0000 0.5000 0.0000 x9
Pt 0.0097 0.5048 0.8216 x18
Pt 0.0395 0.5197 0.3846 x18

Values from the calculation:
ΔE_f (raw) ... -0.54 eV/atom

The following is a PBE-GGA calculation of an optimized crystal structure of KSnP2S6, from Alexandria.

a b c (Å): 9.738 17.782 8.410
angles (deg): 90.00 112.71 90.00
Space group C2/c (No. 15)
Asymmetric unit:
K 0.000 0.190 0.250 x4
Sn 0.000 0.498 0.250 x4
P 0.240 0.363 0.307 x8
S 0.070 0.386 0.078 x8
S 0.131 0.224 0.676 x8
S 0.195 0.048 0.538 x8

Values from the calculation:
ΔE_f (raw) ... -0.34 eV/atom

The following is a PBE-GGA calculation of an optimized crystal structure of LiTaSi2, from Alexandria.

a b c (Å): 5.664 7.617 2.732
angles (deg): 90.00 92.16 90.00
Space group C2/m (No. 12)
Asymmetric unit:
Li 0.000 0.000 0.000 x2
Ta 0.000 0.500 0.000 x2
Si 0.250 0.250 0.500 x4

Values from the calculation:
ΔE_f (raw) ... -0.13 eV/atom

The following is a PBE-GGA calculation of an optimized crystal structure of NdHo2Fe9, from Alexandria.

a b c (Å): 5.1218 5.1218 24.2366
angles (deg): 90.00 90.00 120.00
Space group R-3m (No. 166, hexagonal axes)
Asymmetric unit:
Nd 0.0000 0.0000 0.0000 x3
Ho 0.0000 0.0000 0.1423 x6
Fe 0.0000 0.0000 0.3327 x6
Fe 0.0000 0.0000 0.5000 x3
Fe 0.0008 0.5004 0.0826 x18

Values from the calculation:
ΔH_f (0 K) ... -0.0416 eV/atom

The following is a PBE-GGA calculation of an optimized crystal structure of K3Tm2MgS6, from Alexandria.

a b c (Å): 6.832 11.832 7.731
angles (deg): 90.00 107.13 90.00
Space group C2/m (No. 12)
Asymmetric unit:
K 0.000 0.000 0.000 x2
K 0.000 0.334 0.000 x4
Tm 0.000 0.167 0.500 x4
Mg 0.000 0.500 0.500 x2
S 0.231 0.335 0.698 x8
S 0.236 0.000 0.698 x4

Values from the calculation:
ΔE_f (raw) ... -1.56 eV/atom

The following is a PBE-GGA calculation of an optimized crystal structure of YMoRh2, from Alexandria.

a b c (Å): 4.814 4.814 2.988
angles (deg): 90.00 90.00 90.00
Space group P4/mmm (No. 123)
Asymmetric unit:
Y 0.000 0.000 0.000 x1
Mo 0.500 0.500 0.000 x1
Rh 0.000 0.500 0.500 x2

Values from the calculation:
ΔH_f (0 K) ... -0.1850 eV/atom

| no. | total DFT energy (no corrections) (Ry/atom) | N(E_F) (states/eV per atom) |
| --- | --- | --- |
| 1 | -0.3682 | 1.279 |
| 2 | -0.2348 | 0.557 |
| 3 | -0.4375 | 0.447 |
| 4 | -0.3239 | 0.307 |
| 5 | -0.4618 | 0.499 |
| 6 | -0.5548 | 1.269 |
| 7 | -0.3512 | 0.800 |
| 8 | -0.6015 | 1.278 |